La3IrPb | PBE | relaxed

```
La3IrPb
1.0
-4.5798 -6.2460 0.1928
7.7628 -5.6656 0.8545
-0.4956 0.6317 8.6908
La Pb Ir
12 4 4
Direct
0.8764 0.4315 0.1542
0.6236 0.9315 0.6542
0.1236 0.9315 0.8458
0.8764 0.0685 0.1542
0.6236 0.5685 0.6542
0.6509 0.7500 0.2477
0.3491 0.2500 0.7523
0.3764 0.4315 0.3458
0.1236 0.5685 0.8458
0.1509 0.7500 0.2523
0.8491 0.2500 0.7477
0.3764 0.0685 0.3458
0.5000 0.0000 0.0000
0.5000 0.5000 0.0000
0.0000 0.0000 0.5000
0.0000 0.5000 0.5000
0.6047 0.2500 0.5086
0.3953 0.7500 0.4914
0.8953 0.7500 0.0086
0.1047 0.2500 0.9914
```

Summary:
As for the energy above the most stable polymorph in this dataset: 303 meV/atom. The formation energy is -384 meV per atom. The space group is Pnma.

DyY2Pd4 | PBE | relaxed

```
DyY2Pd4
1.0
-3.9553 -2.8753 -1.6886
1.2164 -2.6925 -4.2466
3.6633 -2.8582 7.2019
Y Pd Dy
2 4 1
Direct
0.6310 0.6310 0.2621
0.3690 0.3690 0.7379
0.1837 0.1837 0.3675
0.8163 0.8163 0.6325
0.5000 0.0000 0.0000
0.0000 0.5000 0.0000
0.0000 0.0000 0.0000
```

Summary:
The formation energy is -284 meV per atom. The space group is Fmmm.

Gd2LuFe | PBE | relaxed

```
Gd2LuFe
1.0
-1.2037 -0.4245 -3.2378
-2.3029 -2.5181 -0.6842
-9.0143 5.6376 0.7416
Fe Gd Lu
1 2 1
Direct
0.5000 0.5000 0.5000
0.8933 0.8933 0.3201
0.1067 0.1067 0.6799
0.0000 0.0000 0.0000
```

Summary:
As for the energy above the most stable polymorph in this dataset: 228 meV/atom. The formation energy is 326 meV per atom. The space group is R-3m.

AcLaGaAg | PBE | relaxed

```
AcLaGaAg
1.0
-1.0454 -1.8391 -5.0628
0.1284 -5.3853 -1.0436
-4.6607 -2.7074 -1.0275
La Ac Ag Ga
1 1 1 1
Direct
0.5000 0.5000 0.5000
0.0000 0.0000 0.0000
0.2500 0.2500 0.2500
0.7500 0.7500 0.7500
```

Summary:
The formation energy is -382 meV per atom. The space group is F-43m.

CsNa2In2Bi2 | PBE | relaxed

```
CsNa2In2Bi2
1.0
5.3757 0.0000 0.0000
2.6878 4.6555 0.0000
2.6878 1.5518 10.3208
Na Bi In Cs
2 2 2 1
Direct
0.8597 0.8597 0.4210
0.1403 0.1403 0.5790
0.7557 0.7557 0.7328
0.2443 0.2443 0.2672
0.5508 0.5508 0.3476
0.4492 0.4492 0.6524
0.0000 0.0000 0.0000
```

Summary:
The formation energy is -271 meV per atom. The space group is R-3m.

CaDy2Ir | PBE | relaxed

```
CaDy2Ir
1.0
-0.4983 -3.7717 1.5379
-0.8267 -3.1442 -2.5041
8.3610 -3.8581 -1.2783
Ir Dy Ca
1 2 1
Direct
0.6660 0.6660 0.0019
0.0517 0.0517 0.8449
0.2806 0.2806 0.1581
0.5016 0.5016 0.4951
```

Summary:
As for the energy above the most stable polymorph in this dataset: 0 meV/atom. The formation energy is -427 meV per atom. The space group is R3m.